# V2CuHgRh

A relaxed V2CuHgRh crystal (PBE-GGA, Alexandria).

The value obtained for the calculated volume is 18.01 Å³ per atom. As for the calculated formation energy: 1.2307 eV per atom. Its total energy is -4.767 eV/atom. As for the density of states at the Fermi level: 6.90 states/eV/f.u.

Structure (CIF):
```
data_V2CuHgRh
_symmetry_space_group_name_H-M 'P 4/m m m'
_symmetry_Int_Tables_number 123
_symmetry_space_group_name_Hall '-P 4 2'
_cell_length_a 4.398
_cell_length_b 4.398
_cell_length_c 4.654
_cell_angle_alpha 90.00
_cell_angle_beta 90.00
_cell_angle_gamma 90.00
loop_
_atom_site_label
_atom_site_fract_x
_atom_site_fract_y
_atom_site_fract_z
V1 0.000 0.500 0.000
Cu1 0.000 0.000 0.000
Hg1 0.000 0.000 0.500
Rh1 0.500 0.500 0.500
```